Material: SrNiGe2Os
Method: DFT, GGA-PBE
State: optimized geometry

Values from the calculation:
Symmetry: P4/mmm
Formation enthalpy at 0 K in eV/atom: 0.76
Total DFT energy (no corrections) in eV for the cell shown: -24.2

Unit cell a=4.5079 b=5.1853 c=4.5079 alpha=90.00 beta=90.00 gamma=90.00
Closest atoms and distances in Å follow each position.
Fractional positions:
Ge (0.0000, 0.0000, 0.5000)  2 Ni 2.25
Ge (0.5000, 0.0000, 0.0000)  2 Ni 2.25
Ni (0.0000, 0.0000, 0.0000)  4 Ge 2.25
Sr (0.0000, 0.5000, 0.0000)  2 Ni 2.59
Os (0.5000, 0.5000, 0.5000)  4 Sr 3.19, 8 Ge 3.44